The following is a DFT calculation (PBE) of Cs3Cd4In after structural relaxation.

```
16
Lattice="13.1395 0.0000 0.0000 0.0000 7.5521 0.0000 -3.7136 0.0000 6.7567" Properties=species:S:1:pos:R:3 pbc="T T T"
Cs 0.0000 0.0000 0.0000
Cs 0.3452 1.7170 3.9691
Cs 2.5110 5.4930 2.7876
Cs 6.5698 3.7760 0.0000
Cs 6.9149 5.4930 3.9691
Cs 9.0808 1.7170 2.7876
Cd -2.4421 3.8214 5.9891
Cd -0.1807 5.9280 5.7508
Cd 3.0369 2.1520 1.0059
Cd 5.2983 0.0453 0.7676
Cd 4.1276 0.0453 5.9891
Cd 6.3890 2.1520 5.7508
Cd 9.6067 5.9280 1.0059
Cd 11.8681 3.8214 0.7676
In -1.8568 5.3431 3.3783
In 4.7130 1.5671 3.3783
```

Values from the calculation:
Energy of formation (meV/atom): -47
V (Å³ per atom): 41.9
Crystal system: monoclinic
Energy above the lowest structure with this stoichiometry (meV/atom): 0.0
Calculated total energy (eV per atom): -1.167

---

The following is a DFT calculation (PBE) of CaRu3 after structural relaxation.

```
8
Lattice="5.1008 0.0000 0.0000 0.0000 5.1008 0.0000 0.0000 0.0000 5.1008" Properties=species:S:1:pos:R:3 pbc="T T T"
Ca 0.0000 0.0000 0.0000
Ca 2.5504 2.5504 2.5504
Ru 0.0000 1.2752 2.5504
Ru 0.0000 3.8256 2.5504
Ru 1.2752 2.5504 0.0000
Ru 2.5504 0.0000 1.2752
Ru 2.5504 0.0000 3.8256
Ru 3.8256 2.5504 0.0000
```

Values from the calculation:
Energy of formation (meV/atom): 729
V (Å³ per atom): 16.6
Crystal system: cubic
Calculated total energy (eV per atom): -6.728

---

- The lowest energy of formation belongs to which entry?
  Cs3Cd4In